## w
## BaTe2Rh (PBE-GGA)

Data for an optimized crystal structure of BaTe2Rh.

```
data_BaTe2Rh
_chemical_formula_sum 'Ba1 Te2 Rh1'
_space_group_name_H-M_alt 'P 1'
_space_group_IT_number 1
_space_group_name_Hall 'P 1'
_cell_length_a 4.8266
_cell_length_b 5.0910
_cell_length_c 5.7671
_cell_angle_alpha 77.94
_cell_angle_beta 90.00
_cell_angle_gamma 90.00
loop_
_atom_site_label
_atom_site_type_symbol
_atom_site_fract_x
_atom_site_fract_y
_atom_site_fract_z
Ba1 Ba 0.0000 0.4725 0.5149
Te1 Te 0.0000 0.0900 0.0830
Te2 Te 0.5000 0.9166 0.6805
Rh1 Rh 0.5000 0.0209 0.2216
```

Calculated values
Its density is 5.94 g/cm3.

=====

## x
## BaTe2Rh (PBE-GGA)

Data for an optimized crystal structure of BaTe2Rh.

```
data_BaTe2Rh
_chemical_formula_sum 'Ba2 Te4 Rh2'
_space_group_name_H-M_alt 'P 1'
_space_group_IT_number 1
_space_group_name_Hall 'P 1'
_cell_length_a 8.2558
_cell_length_b 8.2558
_cell_length_c 6.8846
_cell_angle_alpha 53.16
_cell_angle_beta 53.16
_cell_angle_gamma 90.00
loop_
_atom_site_label
_atom_site_type_symbol
_atom_site_fract_x
_atom_site_fract_y
_atom_site_fract_z
Te1 Te 0.5313 0.1250 0.2500
Te2 Te 0.2187 0.6250 0.2500
Te3 Te 0.3750 0.4687 0.7500
Te4 Te 0.8750 0.7813 0.7500
Rh1 Rh 0.5000 0.5000 0.0000
Rh2 Rh 0.2500 0.7500 0.5000
Ba1 Ba 0.0000 0.0000 0.0000
Ba2 Ba 0.7500 0.2500 0.5000
```

Calculated values
Its density is 6.61 g/cm3.

=====

## y
## BaTe2Rh (PBE-GGA)

Data for an optimized crystal structure of BaTe2Rh.

```
data_BaTe2Rh
_chemical_formula_sum 'Ba1 Te2 Rh1'
_space_group_name_H-M_alt 'P 1'
_space_group_IT_number 1
_space_group_name_Hall 'P 1'
_cell_length_a 6.0832
_cell_length_b 6.0832
_cell_length_c 5.9595
_cell_angle_alpha 66.11
_cell_angle_beta 66.11
_cell_angle_gamma 39.51
loop_
_atom_site_label
_atom_site_type_symbol
_atom_site_fract_x
_atom_site_fract_y
_atom_site_fract_z
Te1 Te 0.9051 0.9051 0.1685
Te2 Te 0.7365 0.7365 0.8316
Rh1 Rh 0.3112 0.3112 0.0244
Ba1 Ba 0.5472 0.5472 0.4755
```

Calculated values
Its density is 6.50 g/cm3.

=====

Relative energy of each structure, in kJ/mol of atoms: w 15.4; x 0.0; y 8.5.

=====

## w
## BaTe2Rh (PBE-GGA)

Data for an optimized crystal structure of BaTe2Rh.

```
data_BaTe2Rh
_chemical_formula_sum 'Ba1 Te2 Rh1'
_space_group_name_H-M_alt 'P 1'
_space_group_IT_number 1
_space_group_name_Hall 'P 1'
_cell_length_a 6.1784
_cell_length_b 6.1784
_cell_length_c 6.1784
_cell_angle_alpha 135.78
_cell_angle_beta 135.78
_cell_angle_gamma 64.33
loop_
_atom_site_label
_atom_site_type_symbol
_atom_site_fract_x
_atom_site_fract_y
_atom_site_fract_z
Ba1 Ba 0.5000 0.5000 0.0000
Te1 Te 0.0000 0.0000 0.0000
Te2 Te 0.2500 0.7500 0.5000
Rh1 Rh 0.7500 0.2500 0.5000
```

Calculated values
Its density is 7.27 g/cm3.

=====

## x
## BaTe2Rh (PBE-GGA)

Data for an optimized crystal structure of BaTe2Rh.

```
data_BaTe2Rh
_chemical_formula_sum 'Ba1 Te2 Rh1'
_space_group_name_H-M_alt 'P 1'
_space_group_IT_number 1
_space_group_name_Hall 'P 1'
_cell_length_a 5.3076
_cell_length_b 5.3076
_cell_length_c 3.9899
_cell_angle_alpha 90.00
_cell_angle_beta 90.00
_cell_angle_gamma 90.00
loop_
_atom_site_label
_atom_site_type_symbol
_atom_site_fract_x
_atom_site_fract_y
_atom_site_fract_z
Ba1 Ba 0.5000 0.5000 0.5000
Te1 Te 0.5000 0.0000 0.0000
Te2 Te 0.0000 0.5000 0.0000
Rh1 Rh 0.0000 0.0000 0.5000
```

Calculated values
Its density is 7.32 g/cm3.

=====

Relative energy of each structure, in kJ/mol of atoms: w 8.9; x 0.0.